This record from Alexandria describes AlSiGe2As at its PBEsol-relaxed geometry. The functional is SCAN.

Computed properties:
density of states at the Fermi level	0.426	states/eV/atom
total magnetization	0.00	Bohr magnetons per cell
ΔE_f (raw)	0.714	eV per atom

a = 4.6979 Å, b = 4.7333 Å, c = 4.7333 Å
α = 90.00°, β = 90.00°, γ = 90.00°
Fractional coordinates of all 5 atoms:
As1 0.5000 0.5000 0.5000
Si1 0.0000 0.0000 0.0000
Ge1 0.0000 0.0000 0.5000
Ge2 0.0000 0.5000 0.0000
Al1 0.5000 0.0000 0.0000

=====

This record from Alexandria describes MgAl2As2H18O18 at its PBEsol-relaxed geometry. The functional is SCAN.

Computed properties:
density of states at the Fermi level	0.000	states/eV/atom
total magnetization	0.00	Bohr magnetons per cell
calculated total energy	-297.42	eV per cell

a = 5.3674 Å, b = 6.9453 Å, c = 10.3365 Å
α = 97.43°, β = 102.08°, γ = 109.64°
Fractional coordinates of all 41 atoms:
Mg1 0.5000 0.0000 0.5000
Al1 0.0000 0.5000 0.0000
Al2 0.0000 0.0000 0.0000
As1 0.4810 0.0753 0.8334
As2 0.5190 0.9247 0.1666
H1 0.9190 0.3094 0.1740
H2 0.0810 0.6906 0.8260
H3 0.0305 0.0103 0.6229
H4 0.9695 0.9897 0.3771
H5 0.8426 0.5048 0.2257
H6 0.1574 0.4952 0.7743
H7 0.5539 0.5865 0.7576
H8 0.4461 0.4135 0.2424
H9 0.6921 0.4008 0.4454
H10 0.3079 0.5992 0.5546
H11 0.8115 0.4060 0.6017
H12 0.1885 0.5940 0.3983
H13 0.3946 0.3452 0.6800
H14 0.6054 0.6548 0.3200
H15 0.8108 0.9457 0.7079
H16 0.1892 0.0543 0.2921
H17 0.6788 0.6733 0.0161
H18 0.3212 0.3267 0.9839
O1 0.8717 0.7170 0.0099
O2 0.1283 0.2830 0.9901
O3 0.6902 0.9351 0.8461
O4 0.3098 0.0649 0.1539
O5 0.6237 0.3166 0.9397
O6 0.3763 0.6834 0.0603
O7 0.1897 0.9336 0.8745
O8 0.8103 0.0664 0.1255
O9 0.3867 0.1021 0.6707
O10 0.6133 0.8979 0.3293
O11 0.9862 0.4694 0.1872
O12 0.0138 0.5306 0.8128
O13 0.3809 0.4884 0.6934
O14 0.6191 0.5116 0.3066
O15 0.8296 0.9594 0.6150
O16 0.1704 0.0406 0.3850
O17 0.7367 0.3151 0.5107
O18 0.2633 0.6849 0.4893

=====

This record from Alexandria describes AlMo2AsH at its PBEsol-relaxed geometry. The functional is SCAN.

Computed properties:
density of states at the Fermi level	0.738	states/eV/atom
total magnetization	0.00	Bohr magnetons per cell
calculated total energy	-100.13	eV per cell

a = 3.4093 Å, b = 4.2366 Å, c = 4.2366 Å
α = 90.00°, β = 90.00°, γ = 90.00°
Fractional coordinates of all 5 atoms:
H1 0.0000 0.0000 0.0000
Mo1 0.0000 0.0000 0.5000
Mo2 0.0000 0.5000 0.0000
As1 0.5000 0.5000 0.5000
Al1 0.5000 0.0000 0.0000

=====

This record from Alexandria describes HfAl2MoAs at its PBEsol-relaxed geometry. The functional is SCAN.

Computed properties:
density of states at the Fermi level	0.700	states/eV/atom
total magnetization	1.51	Bohr magnetons per cell
calculated total energy	-125.93	eV per cell

a = 4.6577 Å, b = 5.1179 Å, c = 5.1179 Å
α = 90.00°, β = 90.00°, γ = 90.00°
Fractional coordinates of all 5 atoms:
Mo1 0.5000 0.0000 0.0000
Hf1 0.0000 0.0000 0.0000
As1 0.5000 0.5000 0.5000
Al1 0.0000 0.0000 0.5000
Al2 0.0000 0.5000 0.0000

=====

This record from Alexandria describes AlHgAs2 at its PBEsol-relaxed geometry. The functional is SCAN.

Computed properties:
density of states at the Fermi level	0.527	states/eV/atom
total magnetization	0.00	Bohr magnetons per cell
calculated total energy	-114.76	eV per cell

a = 3.6587 Å, b = 4.5878 Å, c = 4.5878 Å
α = 90.00°, β = 90.00°, γ = 90.00°
Fractional coordinates of all 4 atoms:
As1 0.0000 0.0000 0.5000
As2 0.0000 0.5000 0.0000
Hg1 0.5000 0.5000 0.5000
Al1 0.5000 0.0000 0.0000

=====

This record from Alexandria describes AlHgAs2 at its PBEsol-relaxed geometry. The functional is SCAN.

Computed properties:
density of states at the Fermi level	0.367	states/eV/atom
total magnetization	0.00	Bohr magnetons per cell
calculated total energy	-116.14	eV per cell

a = 3.7128 Å, b = 4.2667 Å, c = 5.6546 Å
α = 111.12°, β = 90.00°, γ = 90.00°
Fractional coordinates of all 4 atoms:
As1 0.0000 0.2440 0.1981
As2 0.0000 0.7560 0.8019
Hg1 0.5000 0.0000 0.5000
Al1 0.5000 0.5000 0.0000

=====

This record from Alexandria describes Al2HgAs at its PBEsol-relaxed geometry. The functional is SCAN.

Computed properties:
density of states at the Fermi level	0.326	states/eV/atom
total magnetization	0.00	Bohr magnetons per cell
calculated total energy	-103.19	eV per cell

a = 2.9951 Å, b = 4.9971 Å, c = 4.9971 Å
α = 95.49°, β = 90.00°, γ = 90.00°
Fractional coordinates of all 4 atoms:
As1 0.5000 0.0000 0.0000
Hg1 0.5000 0.5000 0.5000
Al1 0.0000 0.5000 0.0000
Al2 0.0000 0.0000 0.5000

=====

This record from Alexandria describes AlHgAs2 at its PBEsol-relaxed geometry. The functional is SCAN.

Computed properties:
density of states at the Fermi level	0.426	states/eV/atom
total magnetization	0.00	Bohr magnetons per cell
calculated total energy	-114.89	eV per cell

a = 3.1230 Å, b = 5.2921 Å, c = 5.2921 Å
α = 112.80°, β = 98.50°, γ = 98.50°
Fractional coordinates of all 4 atoms:
As1 0.0000 0.5000 0.0000
As2 0.0000 0.0000 0.5000
Hg1 0.5000 0.5000 0.5000
Al1 0.5000 0.0000 0.0000